## SrS2Cl (PBE)

Data for an optimized crystal structure of SrS2Cl.

Output
The calculation puts the uncorrected formation energy at -716.9 meV/atom. As for the density of states at the Fermi level: 12.9 states/eV/cell. The value obtained for the excess energy over the best structure of this formula in the dataset is 461 meV/atom.

```
data_SrS2Cl
_cell_length_a 4.6986
_cell_length_b 4.6986
_cell_length_c 21.2187
_cell_angle_alpha 90.00
_cell_angle_beta 90.00
_cell_angle_gamma 120.00
_symmetry_space_group_name_H-M 'R -3 m'
_symmetry_Int_Tables_number 166
_symmetry_space_group_name_Hall '-R 3 2"'
loop_
_atom_site_label
_atom_site_type_symbol
_atom_site_fract_x
_atom_site_fract_y
_atom_site_fract_z
Sr1 Sr 0.0000 0.0000 0.0000
S1 S 0.0000 0.0000 0.3912
Cl1 Cl 0.0000 0.0000 0.5000
```

---

## Ba2TbScS5 (PBE)

Data for an optimized crystal structure of Ba2TbScS5.

Output
The calculation puts the uncorrected formation energy at -2048.3 meV/atom. As for the density of states at the Fermi level: 0.0 states/eV/cell.

```
data_Ba2TbScS5
_cell_length_a 4.2308
_cell_length_b 17.1068
_cell_length_c 13.3920
_cell_angle_alpha 90.00
_cell_angle_beta 90.00
_cell_angle_gamma 90.00
_symmetry_space_group_name_H-M 'C m c 21'
_symmetry_Int_Tables_number 36
loop_
_symmetry_equiv_pos_as_xyz
'x,y,z'
'-x,-y,z+1/2'
'-x,y,z'
'x,-y,z+1/2'
'x+1/2,y+1/2,z'
'-x+1/2,-y+1/2,z+1/2'
'-x+1/2,y+1/2,z'
'x+1/2,-y+1/2,z+1/2'
loop_
_atom_site_label
_atom_site_type_symbol
_atom_site_fract_x
_atom_site_fract_y
_atom_site_fract_z
Ba1 Ba 0.0000 0.1055 0.0000
Ba2 Ba 0.0000 0.1430 0.6191
Tb1 Tb 0.0000 0.2124 0.3306
Sc1 Sc 0.0000 0.4724 0.7664
S1 S 0.0000 0.0511 0.3595
S2 S 0.0000 0.2832 0.9654
S3 S 0.0000 0.3231 0.6997
S4 S 0.0000 0.3730 0.3115
S5 S 0.0000 0.4904 0.0920
```

---

## CdSnPt4 (PBE)

Data for an optimized crystal structure of CdSnPt4.

Output
The formation energy from the elements comes out at -104 kJ/mol of formula units. As for the density of states at the Fermi level: 32.9 states/eV/cell.

```
data_CdSnPt4
_cell_length_a 7.6324
_cell_length_b 7.6324
_cell_length_c 7.6324
_cell_angle_alpha 90.00
_cell_angle_beta 90.00
_cell_angle_gamma 90.00
_symmetry_space_group_name_H-M 'F -4 3 m'
_symmetry_Int_Tables_number 216
_symmetry_space_group_name_Hall 'F -4 2 3'
loop_
_atom_site_label
_atom_site_type_symbol
_atom_site_fract_x
_atom_site_fract_y
_atom_site_fract_z
Cd1 Cd 0.0000 0.0000 0.0000
Sn1 Sn 0.2500 0.2500 0.2500
Pt1 Pt 0.1251 0.1251 0.6251
```

---

## Be2CoRhW (PBE)

Data for an optimized crystal structure of Be2CoRhW.

Output
The formation energy from the elements comes out at 515 kJ/mol of formula units. As for the density of states at the Fermi level: 5.5 states/eV/cell.

```
data_Be2CoRhW
_cell_length_a 4.0268
_cell_length_b 4.0268
_cell_length_c 4.7828
_cell_angle_alpha 90.00
_cell_angle_beta 90.00
_cell_angle_gamma 90.00
_symmetry_space_group_name_H-M 'P 4/m m m'
_symmetry_Int_Tables_number 123
_symmetry_space_group_name_Hall '-P 4 2'
loop_
_atom_site_label
_atom_site_type_symbol
_atom_site_fract_x
_atom_site_fract_y
_atom_site_fract_z
Be1 Be 0.0000 0.5000 0.0000
Co1 Co 0.0000 0.0000 0.5000
Rh1 Rh 0.5000 0.5000 0.0000
W1 W 0.5000 0.5000 0.5000
```

---

## RbTcIr2 (PBE)

Data for an optimized crystal structure of RbTcIr2.

Output
The formation energy from the elements comes out at 605 kJ/mol of formula units. As for the density of states at the Fermi level: 12.5 states/eV/cell. The value obtained for the excess energy over the best structure of this formula in the dataset is 374 meV/atom.

```
data_RbTcIr2
_cell_length_a 6.6162
_cell_length_b 6.6162
_cell_length_c 6.6162
_cell_angle_alpha 90.00
_cell_angle_beta 90.00
_cell_angle_gamma 90.00
_symmetry_space_group_name_H-M 'F m -3 m'
_symmetry_Int_Tables_number 225
_symmetry_space_group_name_Hall '-F 4 2 3'
loop_
_atom_site_label
_atom_site_type_symbol
_atom_site_fract_x
_atom_site_fract_y
_atom_site_fract_z
Rb1 Rb 0.0000 0.0000 0.0000
Tc1 Tc 0.0000 0.0000 0.5000
Ir1 Ir 0.2500 0.2500 0.2500
```

---

## Re4Tc3Mo2 (PBE)

Data for an optimized crystal structure of Re4Tc3Mo2.

Output
The formation energy from the elements comes out at 147 kJ/mol of formula units. As for the density of states at the Fermi level: 32.0 states/eV/cell.

```
data_Re4Tc3Mo2
_cell_length_a 11.4475
_cell_length_b 10.2212
_cell_length_c 4.9256
_cell_angle_alpha 90.00
_cell_angle_beta 104.70
_cell_angle_gamma 90.00
_symmetry_space_group_name_H-M 'C 1 2/c 1'
_symmetry_Int_Tables_number 15
loop_
_symmetry_equiv_pos_as_xyz
'x,y,z'
'-x,-y,-z'
'-x,y,-z+1/2'
'x,-y,z+1/2'
'x+1/2,y+1/2,z'
'-x+1/2,-y+1/2,-z'
'-x+1/2,y+1/2,-z+1/2'
'x+1/2,-y+1/2,z+1/2'
loop_
_atom_site_label
_atom_site_type_symbol
_atom_site_fract_x
_atom_site_fract_y
_atom_site_fract_z
Re1 Re 0.1011 0.0610 0.4624
Re2 Re 0.2115 0.4227 0.1025
Tc1 Tc 0.0000 0.4619 0.7500
Tc2 Tc 0.0910 0.2069 0.0021
Mo1 Mo 0.1598 0.3160 0.5645
```

---

## LiEr4Ru2 (PBE)

Data for an optimized crystal structure of LiEr4Ru2.

Output
The formation energy from the elements comes out at -220 kJ/mol of formula units. As for the density of states at the Fermi level: 10.4 states/eV/cell. The value obtained for the excess energy over the best structure of this formula in the dataset is 0 meV/atom.

```
data_LiEr4Ru2
_cell_length_a 4.8335
_cell_length_b 4.8335
_cell_length_c 23.1524
_cell_angle_alpha 90.00
_cell_angle_beta 90.00
_cell_angle_gamma 120.00
_symmetry_space_group_name_H-M 'R -3 m'
_symmetry_Int_Tables_number 166
_symmetry_space_group_name_Hall '-R 3 2"'
loop_
_atom_site_label
_atom_site_type_symbol
_atom_site_fract_x
_atom_site_fract_y
_atom_site_fract_z
Li1 Li 0.0000 0.0000 0.0000
Er1 Er 0.0000 0.0000 0.1286
Er2 Er 0.0000 0.0000 0.3791
Ru1 Ru 0.0000 0.0000 0.2526
```

---

## Sm5Y2Bi5 (PBE)

Data for an optimized crystal structure of Sm5Y2Bi5.

Output
The formation energy from the elements comes out at -769 kJ/mol of formula units. As for the density of states at the Fermi level: 17.4 states/eV/cell.

```
data_Sm5Y2Bi5
_cell_length_a 14.8395
_cell_length_b 4.5042
_cell_length_c 12.9714
_cell_angle_alpha 90.00
_cell_angle_beta 111.44
_cell_angle_gamma 90.00
_symmetry_space_group_name_H-M 'C 1 2/m 1'
_symmetry_Int_Tables_number 12
loop_
_symmetry_equiv_pos_as_xyz
'x,y,z'
'-x,-y,-z'
'-x,y,-z'
'x,-y,z'
'x+1/2,y+1/2,z'
'-x+1/2,-y+1/2,-z'
'-x+1/2,y+1/2,-z'
'x+1/2,-y+1/2,z'
loop_
_atom_site_label
_atom_site_type_symbol
_atom_site_fract_x
_atom_site_fract_y
_atom_site_fract_z
Sm1 Sm 0.0000 0.0000 0.0000
Sm2 Sm 0.1619 0.0000 0.5335
Sm3 Sm 0.2183 0.0000 0.8401
Y1 Y 0.0489 0.5000 0.2892
Bi1 Bi 0.0000 0.5000 0.5000
Bi2 Bi 0.1177 0.5000 0.9304
Bi3 Bi 0.1935 0.0000 0.2847
```

---

## Zr2AgPPd (PBE)

Data for an optimized crystal structure of Zr2AgPPd.

Output
The formation energy from the elements comes out at -118 kJ/mol of formula units. As for the density of states at the Fermi level: 3.9 states/eV/cell. The value obtained for the excess energy over the best structure of this formula in the dataset is 0 meV/atom.

```
data_Zr2AgPPd
_cell_length_a 4.8974
_cell_length_b 4.8974
_cell_length_c 4.4345
_cell_angle_alpha 90.00
_cell_angle_beta 90.00
_cell_angle_gamma 90.00
_symmetry_space_group_name_H-M 'P 4/m m m'
_symmetry_Int_Tables_number 123
_symmetry_space_group_name_Hall '-P 4 2'
loop_
_atom_site_label
_atom_site_type_symbol
_atom_site_fract_x
_atom_site_fract_y
_atom_site_fract_z
Zr1 Zr 0.0000 0.5000 0.0000
Ag1 Ag 0.0000 0.0000 0.5000
P1 P 0.5000 0.5000 0.0000
Pd1 Pd 0.5000 0.5000 0.5000
```

---

## SbAs2SeN (PBE)

Data for an optimized crystal structure of SbAs2SeN.

Output
The calculation puts the uncorrected formation energy at 2126.9 meV/atom. As for the density of states at the Fermi level: 10.6 states/eV/cell. The value obtained for the excess energy over the best structure of this formula in the dataset is 1397 meV/atom.

```
data_SbAs2SeN
_cell_length_a 5.3236
_cell_length_b 5.3236
_cell_length_c 5.1511
_cell_angle_alpha 90.00
_cell_angle_beta 90.00
_cell_angle_gamma 90.00
_symmetry_space_group_name_H-M 'P 4/m m m'
_symmetry_Int_Tables_number 123
_symmetry_space_group_name_Hall '-P 4 2'
loop_
_atom_site_label
_atom_site_type_symbol
_atom_site_fract_x
_atom_site_fract_y
_atom_site_fract_z
Sb1 Sb 0.0000 0.0000 0.0000
As1 As 0.0000 0.5000 0.0000
Se1 Se 0.0000 0.0000 0.5000
N1 N 0.5000 0.5000 0.5000
```

---

Volume values, unit Å³/cell, following the record order: 406, 969, 445, 78, 290, 557, 468, 807, 106, 146.
Raw total energy values, unit eV/cell, following the record order: -43.95, -215.52, -120.64, -29.52, -91.12, -404.13, -123.00, -127.79, -31.77, -14.60.